No. 1
Density functional theory data (PBE) for crystalline GdThCu2 at its relaxed geometry.

Geometry as CIF:
```
data_GdThCu2
_symmetry_space_group_name_H-M 'P 1'
_symmetry_Int_Tables_number 1
_symmetry_space_group_name_Hall 'P 1'
_cell_length_a 3.495
_cell_length_b 5.045
_cell_length_c 5.045
_cell_angle_alpha 90.00
_cell_angle_beta 90.00
_cell_angle_gamma 90.00
loop_
_atom_site_label
_atom_site_fract_x
_atom_site_fract_y
_atom_site_fract_z
_atom_site_occupancy
Th1 0.500 0.500 0.500 1
Cu1 0.000 0.500 0.000 1
Cu2 0.000 0.000 0.500 1
Gd1 0.500 0.000 0.000 1
```

Values from the calculation:
* energy of formation: -0.134 eV/atom
* space-group type: P4/mmm (123)
* energy above the lowest structure with this stoichiometry: 0.000 eV/atom
* E_tot: -7.557 eV/atom


No. 2
Density functional theory data (PBE) for crystalline GdThCu4 at its relaxed geometry.

Geometry as CIF:
```
data_GdThCu4
_symmetry_space_group_name_H-M 'P 1'
_symmetry_Int_Tables_number 1
_symmetry_space_group_name_Hall 'P 1'
_cell_length_a 5.324
_cell_length_b 5.324
_cell_length_c 5.324
_cell_angle_alpha 60.00
_cell_angle_beta 60.00
_cell_angle_gamma 60.00
loop_
_atom_site_label
_atom_site_fract_x
_atom_site_fract_y
_atom_site_fract_z
_atom_site_occupancy
Cu1 0.625 0.625 0.625 1
Cu2 0.625 0.124 0.625 1
Cu3 0.625 0.625 0.124 1
Cu4 0.124 0.625 0.625 1
Th1 0.250 0.250 0.250 1
Gd1 0.000 0.000 0.000 1
```

Values from the calculation:
* energy of formation: -0.081 eV/atom
* space-group type: F-43m (216)
* E_tot: -6.396 eV/atom


No. 3
Density functional theory data (PBE) for crystalline GdTh2Cu at its relaxed geometry.

Geometry as CIF:
```
data_GdTh2Cu
_symmetry_space_group_name_H-M 'P 1'
_symmetry_Int_Tables_number 1
_symmetry_space_group_name_Hall 'P 1'
_cell_length_a 3.592
_cell_length_b 3.592
_cell_length_c 8.626
_cell_angle_alpha 90.00
_cell_angle_beta 90.00
_cell_angle_gamma 90.00
loop_
_atom_site_label
_atom_site_fract_x
_atom_site_fract_y
_atom_site_fract_z
_atom_site_occupancy
Gd1 0.500 0.500 0.500 1
Th1 0.000 0.000 0.796 1
Th2 0.000 0.000 0.204 1
Cu1 0.500 0.500 0.000 1
```

Values from the calculation:
* energy of formation: 0.018 eV/atom
* space-group type: P4/mmm (123)
* energy above the lowest structure with this stoichiometry: 0.000 eV/atom
* E_tot: -8.236 eV/atom


> What is the formula in the third record?

GdTh2Cu


> Look up the energy of formation of the third one.

0.018 eV/atom